Material: LaTl2Ir2
Method: DFT, GGA-PBE
State: optimized geometry

Cell: 4.413 4.413 12.095 Å, 90.00 90.00 90.00°
Fractional positions:
La 0.000 0.000 0.000
La 0.500 0.500 0.500
Tl 0.000 0.500 0.250
Tl 0.000 0.500 0.750
Tl 0.500 0.000 0.250
Tl 0.500 0.000 0.750
Ir 0.000 0.000 0.400
Ir 0.000 0.000 0.600
Ir 0.500 0.500 0.100
Ir 0.500 0.500 0.900

Properties
calculated formation energy	-0.12	eV per atom
mass density	13.1	g/cm3
total moment	0.0	μB per formula unit
density of states at the Fermi level	3.61	states/eV/f.u.
SG	No. 139